{"formula": "InRu2Cl", "functional": "GGA-PBE", "state": "optimized geometry", "magmom_total_mub_per_fu": 3.31, "spacegroup": "No. 216", "relative_energy_mev_per_atom": 674, "cell": [[0.000, 3.275, 3.275], [3.275, 0.000, 3.275], [3.275, 3.275, 0.000]], "species": ["In", "Ru", "Ru", "Cl"], "frac_coords": [[0.000, 0.000, 0.000], [0.250, 0.250, 0.250], [0.500, 0.500, 0.500], [0.750, 0.750, 0.750]]}